(1)
Here is crystalline LiTlN2 at its relaxed geometry from Alexandria via LeMat-Bulk. Energies are from PBE.

Values from the calculation:
* ΔE_f (raw): 1.1954 eV/atom
* M_tot: 2.0 μB per formula unit
* calculated volume: 48.1 Å³/cell
* relative energy among the computed polymorphs: 152 meV/atom

a = 4.0829 Å, b = 4.0829 Å, c = 4.0829 Å
α = 60.00°, β = 60.00°, γ = 60.00°
Last column: nearest neighbours and their distance in Å.
Element x y z (fractional)
Li 0.0000 0.0000 0.0000  8 N 2.50
N 0.7500 0.7500 0.7500  4 Li 2.50, 4 Tl 2.50
N 0.2500 0.2500 0.2500  4 Tl 2.50, 4 Li 2.50
Tl 0.5000 0.5000 0.5000  8 N 2.50

***

(2)
Here is crystalline LiYPb at its relaxed geometry from Alexandria via LeMat-Bulk. Energies are from PBE.

Values from the calculation:
* M_tot: 0.0 μB per formula unit
* calculated formation energy: -398 meV per atom
* calculated volume: 147.9 Å³/cell

a = 13.3328 Å, b = 4.7379 Å, c = 4.7379 Å
α = 120.01°, β = 135.33°, γ = 44.67°
Last column: nearest neighbours and their distance in Å.
Element x y z (fractional)
Li 0.2533 0.8708 0.1292  4 Pb 2.87-2.89, 4 Y 2.87-2.90
Li 0.9313 0.6338 0.3661  3 Pb 2.77
Y 0.6339 0.3637 0.6363  1 Li 2.90
Y 0.1373 0.6924 0.3076  6 Li 2.87-3.15
Pb 0.3686 0.0504 0.9496  3 Li 2.87
Pb 0.8738 0.3771 0.6229  4 Li 2.77-2.89

***

(3)
Here is crystalline SbPdI2Cl at its relaxed geometry from Alexandria via LeMat-Bulk. Energies are from PBE.

Values from the calculation:
* ΔE_f (raw): 0.9100 eV/atom
* M_tot: 0.0 μB per formula unit
* calculated volume: 190.6 Å³/cell
* relative energy among the computed polymorphs: 754 meV/atom

a = 6.1932 Å, b = 6.1932 Å, c = 4.9696 Å
α = 90.00°, β = 90.00°, γ = 90.00°
Last column: nearest neighbours and their distance in Å.
Element x y z (fractional)
Sb 0.0000 0.0000 0.5000  2 Cl 2.48
I 0.5000 0.0000 0.0000  2 Cl 3.10
I 0.0000 0.5000 0.0000  2 Cl 3.10
Cl 0.0000 0.0000 0.0000  2 Sb 2.48
Pd 0.5000 0.5000 0.5000  8 I 3.97, 4 Sb 4.38

***

(4)
Here is crystalline Pm12Er7Tl at its relaxed geometry from Alexandria via LeMat-Bulk. Energies are from PBE.

Values from the calculation:
* M_tot: 0.0 μB per formula unit
* calculated formation energy: 164 meV per atom
* calculated volume: 659.6 Å³/cell

a = 8.7059 Å, b = 8.7059 Å, c = 8.7059 Å
α = 89.09°, β = 89.09°, γ = 89.09°
Last column: nearest neighbours and their distance in Å.
Element x y z (fractional)
Pm 0.6160 0.1423 0.4940  4 Pm 3.22-3.46, 2 Er 3.26-3.57
Pm 0.7370 0.8677 0.2615  5 Pm 3.26-3.60, 1 Tl 3.40, 2 Er 3.60-3.64
Pm 0.1323 0.7385 0.2630  5 Pm 3.26-3.60, 1 Tl 3.40, 2 Er 3.60-3.64
Pm 0.3840 0.8577 0.5060  4 Pm 3.22-3.46, 2 Er 3.26-3.57
Pm 0.7385 0.2630 0.1323  5 Pm 3.26-3.60, 1 Tl 3.40, 2 Er 3.60-3.64
Pm 0.8677 0.2615 0.7370  5 Pm 3.26-3.60, 1 Tl 3.40, 2 Er 3.60-3.64
Pm 0.4940 0.6160 0.1423  4 Pm 3.22-3.46, 2 Er 3.26-3.57
Pm 0.2615 0.7370 0.8677  5 Pm 3.26-3.60, 1 Tl 3.40, 2 Er 3.60-3.64
Pm 0.2630 0.1323 0.7385  5 Pm 3.26-3.60, 1 Tl 3.40, 2 Er 3.60-3.64
Pm 0.5060 0.3840 0.8577  4 Pm 3.22-3.46, 2 Er 3.26-3.57
Pm 0.1423 0.4940 0.6160  4 Pm 3.22-3.46, 2 Er 3.26-3.57
Pm 0.8577 0.5060 0.3840  4 Pm 3.22-3.46, 2 Er 3.26-3.57
Er 0.3811 0.0599 0.1463  3 Er 3.42-3.52, 6 Pm 3.57-3.76, 1 Tl 3.62
Er 0.1463 0.3811 0.0599  3 Er 3.42-3.52, 6 Pm 3.57-3.76, 1 Tl 3.62
Er 0.0599 0.1463 0.3811  3 Er 3.42-3.52, 6 Pm 3.57-3.76, 1 Tl 3.62
Er 0.6189 0.9401 0.8537  3 Er 3.42-3.52, 6 Pm 3.57-3.76, 1 Tl 3.62
Er 0.5000 0.5000 0.5000  6 Pm 3.26
Er 0.8537 0.6189 0.9401  3 Er 3.42-3.52, 6 Pm 3.57-3.76, 1 Tl 3.62
Er 0.9401 0.8537 0.6189  3 Er 3.42-3.52, 6 Pm 3.57-3.76, 1 Tl 3.62
Tl 0.0000 0.0000 0.0000  6 Pm 3.40, 6 Er 3.62

***

(5)
Here is crystalline Pr6Nd2Dy3Tm at its relaxed geometry from Alexandria via LeMat-Bulk. Energies are from PBE.

Values from the calculation:
* M_tot: 0.0 μB per formula unit
* calculated formation energy: 13 meV per atom
* calculated volume: 410.5 Å³/cell

a = 6.3346 Å, b = 6.3346 Å, c = 11.9994 Å
α = 95.04°, β = 95.04°, γ = 120.01°
Last column: nearest neighbours and their distance in Å.
Element x y z (fractional)
Nd 0.6668 0.3332 0.0000  6 Pr 3.65-3.66, 3 Nd 3.66, 3 Tm 3.66
Nd 0.3332 0.6668 0.0000  6 Pr 3.65-3.66, 3 Nd 3.66, 3 Tm 3.66
Pr 0.2480 0.2480 0.7474  3 Dy 3.60-3.61, 6 Pr 3.64-3.67, 1 Tm 3.65, 2 Nd 3.66
Pr 0.7520 0.7520 0.2526  3 Dy 3.60-3.61, 6 Pr 3.64-3.67, 1 Tm 3.65, 2 Nd 3.66
Pr 0.9159 0.5840 0.7479  3 Dy 3.61-3.62, 6 Pr 3.64-3.67, 1 Tm 3.65, 2 Nd 3.65
Pr 0.5840 0.9159 0.7479  3 Dy 3.61-3.62, 6 Pr 3.64-3.67, 1 Tm 3.65, 2 Nd 3.65
Pr 0.0841 0.4160 0.2521  3 Dy 3.61-3.62, 6 Pr 3.64-3.67, 1 Tm 3.65, 2 Nd 3.65
Pr 0.4160 0.0841 0.2521  3 Dy 3.61-3.62, 6 Pr 3.64-3.67, 1 Tm 3.65, 2 Nd 3.65
Dy 0.8335 0.1665 0.5000  6 Pr 3.60-3.62, 6 Dy 3.65-3.66
Dy 0.5000 0.5000 0.5000  6 Pr 3.61, 6 Dy 3.66
Dy 0.1665 0.8335 0.5000  6 Pr 3.60-3.62, 6 Dy 3.65-3.66
Tm 0.0000 0.0000 0.0000  6 Pr 3.65, 6 Nd 3.66

***

(6)
Here is crystalline LiYB4H16 at its relaxed geometry from Alexandria via LeMat-Bulk. Energies are from PBE.

Values from the calculation:
* M_tot: 0.0 μB per formula unit
* E: -4.349 eV/atom
* calculated volume: 215.8 Å³/cell

a = 6.1673 Å, b = 6.1673 Å, c = 5.6743 Å
α = 90.00°, β = 90.00°, γ = 90.00°
Last column: nearest neighbours and their distance in Å.
Element x y z (fractional)
H 0.7868 0.4440 0.7607  1 B 1.24
H 0.4440 0.2132 0.2393  1 B 1.24
H 0.4440 0.7868 0.7607  1 B 1.24
H 0.2353 0.7647 0.4955  1 B 1.24
H 0.2353 0.2353 0.5045  1 B 1.24
H 0.7868 0.5560 0.2393  1 B 1.24
H 0.2132 0.5560 0.7607  1 B 1.24
H 0.5560 0.2132 0.7607  1 B 1.24
H 0.2132 0.4440 0.2393  1 B 1.24
H 0.7647 0.7647 0.5045  1 B 1.24
H 0.1316 0.8684 0.8174  1 B 1.21
H 0.7647 0.2353 0.4955  1 B 1.24
H 0.5560 0.7868 0.2393  1 B 1.24
H 0.1316 0.1316 0.1826  1 B 1.21
H 0.8684 0.8684 0.1826  1 B 1.21
H 0.8684 0.1316 0.8174  1 B 1.21
B 0.7478 0.7478 0.2867  4 H 1.21-1.24
B 0.7478 0.2522 0.7133  4 H 1.21-1.24
B 0.2522 0.2522 0.2867  4 H 1.21-1.24
B 0.2522 0.7478 0.7133  4 H 1.21-1.24
Y 0.5000 0.5000 0.5000  12 H 2.31-2.33, 4 B 2.48
Li 0.0000 0.0000 0.5000  8 H 2.05-2.14

***

(7)
Here is crystalline Ce3MnBi5 at its relaxed geometry from Alexandria via LeMat-Bulk. Energies are from PBE.

Values from the calculation:
* M_tot: 6.1 μB per formula unit
* calculated formation energy: -525 meV per atom
* calculated volume: 514.2 Å³/cell

a = 9.5617 Å, b = 9.5617 Å, c = 6.4949 Å
α = 90.00°, β = 90.00°, γ = 120.00°
Last column: nearest neighbours and their distance in Å.
Element x y z (fractional)
Bi 0.3333 0.6667 0.0000  2 Bi 3.25, 6 Ce 3.40
Bi 0.0000 0.7426 0.7500  2 Mn 2.95, 2 Ce 3.22
Bi 0.7426 0.7426 0.2500  2 Mn 2.95, 2 Ce 3.22
Bi 0.2574 0.2574 0.7500  2 Mn 2.95, 2 Ce 3.22
Bi 0.3333 0.6667 0.5000  2 Bi 3.25, 6 Ce 3.40
Bi 0.6667 0.3333 0.0000  2 Bi 3.25, 6 Ce 3.40
Bi 0.0000 0.2574 0.2500  2 Mn 2.95, 2 Ce 3.22
Bi 0.2574 0.0000 0.2500  2 Mn 2.95, 2 Ce 3.22
Bi 0.6667 0.3333 0.5000  2 Bi 3.25, 6 Ce 3.40
Bi 0.7426 0.0000 0.7500  2 Mn 2.95, 2 Ce 3.22
Mn 0.0000 0.0000 0.0000  6 Bi 2.95, 2 Mn 3.25
Mn 0.0000 0.0000 0.5000  6 Bi 2.95, 2 Mn 3.25
Ce 0.3817 0.3817 0.2500  9 Bi 3.22-3.46
Ce 0.3817 0.0000 0.7500  9 Bi 3.22-3.46
Ce 0.6183 0.6183 0.7500  9 Bi 3.22-3.46
Ce 0.6183 0.0000 0.2500  9 Bi 3.22-3.46
Ce 0.0000 0.3817 0.7500  9 Bi 3.22-3.46
Ce 0.0000 0.6183 0.2500  9 Bi 3.22-3.46

***

(8)
Here is crystalline Ca3Ta2O8 at its relaxed geometry from Alexandria via LeMat-Bulk. Energies are from PBE.

Values from the calculation:
* ΔE_f (raw): -3.0084 eV/atom
* M_tot: 0.0 μB per formula unit
* calculated volume: 407.4 Å³/cell
* relative energy among the computed polymorphs: 19 meV/atom

a = 7.2303 Å, b = 7.2303 Å, c = 9.3197 Å
α = 90.00°, β = 90.00°, γ = 123.26°
Last column: nearest neighbours and their distance in Å.
Element x y z (fractional)
O 0.6067 0.8341 0.9992  1 Ta 1.86
O 0.9981 0.0019 0.2514  1 Ta 1.92
O 0.7412 0.2588 0.2188  1 Ta 1.87
O 0.1659 0.3933 0.9992  1 Ta 1.86
O 0.3341 0.1067 0.4992  1 Ta 1.86
O 0.1067 0.3341 0.5008  1 Ta 1.86
O 0.2412 0.7588 0.2812  1 Ta 1.87
O 0.8933 0.6659 0.4992  1 Ta 1.86
O 0.4981 0.5019 0.2486  1 Ta 1.92
O 0.2588 0.7412 0.7812  1 Ta 1.87
O 0.0019 0.9981 0.7486  1 Ta 1.92
O 0.5019 0.4981 0.7514  1 Ta 1.92
O 0.6659 0.8933 0.5008  1 Ta 1.86
O 0.3933 0.1659 0.0008  1 Ta 1.86
O 0.8341 0.6067 0.0008  1 Ta 1.86
O 0.7588 0.2412 0.7188  1 Ta 1.87
Ca 0.8925 0.6075 0.7500  6 O 2.29-2.48
Ca 0.3925 0.1075 0.7500  6 O 2.29-2.48
Ca 0.5000 0.5000 0.5000  6 O 2.34-2.40
Ca 0.1075 0.3925 0.2500  6 O 2.29-2.48
Ca 0.0000 0.0000 0.0000  6 O 2.34-2.40
Ca 0.6075 0.8925 0.2500  6 O 2.29-2.48
Ta 0.3854 0.6146 0.8828  4 O 1.86-1.92
Ta 0.6146 0.3854 0.1172  4 O 1.86-1.92
Ta 0.1146 0.8854 0.3828  4 O 1.86-1.92
Ta 0.8854 0.1146 0.6172  4 O 1.86-1.92

***

(9)
Here is crystalline ErHg2F8 at its relaxed geometry from Alexandria via LeMat-Bulk. Energies are from PBE.

Values from the calculation:
* ΔE_f (raw): -2.1969 eV/atom
* M_tot: 0.0 μB per formula unit
* calculated volume: 188.8 Å³/cell

a = 4.4317 Å, b = 7.0146 Å, c = 7.0142 Å
α = 120.01°, β = 90.00°, γ = 90.00°
Last column: nearest neighbours and their distance in Å.
Element x y z (fractional)
F 0.7457 0.3041 0.1529  1 Er 2.16, 1 Hg 2.20
F 0.2424 0.6667 0.3332  2 Hg 2.21-2.22
F 0.2542 0.1529 0.8487  1 Er 2.16, 1 Hg 2.20
F 0.7576 0.3333 0.6667  2 Hg 2.21-2.22
F 0.7458 0.8487 0.6958  1 Er 2.16, 1 Hg 2.20
F 0.2542 0.1513 0.3042  1 Er 2.16, 1 Hg 2.20
F 0.2543 0.6959 0.8471  1 Er 2.16, 1 Hg 2.20
F 0.7458 0.8471 0.1513  1 Er 2.16, 1 Hg 2.20
Hg 0.2578 0.3333 0.6667  5 F 2.20-2.22
Hg 0.7422 0.6667 0.3333  5 F 2.20-2.22
Er 0.0000 0.0000 0.0000  6 F 2.16

***

(10)
Here is crystalline NaSr3Sn3 at its relaxed geometry from Alexandria via LeMat-Bulk. Energies are from PBE.

Values from the calculation:
* M_tot: 0.0 μB per formula unit
* calculated formation energy: -570 meV per atom
* calculated volume: 489.4 Å³/cell

a = 4.9607 Å, b = 6.5227 Å, c = 16.3548 Å
α = 90.00°, β = 90.00°, γ = 112.35°
Last column: nearest neighbours and their distance in Å.
Element x y z (fractional)
Na 0.5000 0.0000 0.5000  4 Sn 3.23
Na 0.5000 0.0000 0.0000  4 Sn 3.23
Sn 0.2421 0.4842 0.2500  2 Sn 2.96
Sn 0.9013 0.8026 0.6031  1 Sn 2.96, 2 Na 3.23
Sn 0.7579 0.5158 0.7500  2 Sn 2.96
Sn 0.0987 0.1974 0.3969  1 Sn 2.96, 2 Na 3.23
Sn 0.0987 0.1974 0.1031  1 Sn 2.96, 2 Na 3.23
Sn 0.9013 0.8026 0.8969  1 Sn 2.96, 2 Na 3.23
Sr 0.1971 0.3943 0.6028  6 Sn 3.50-3.57, 2 Na 3.83
Sr 0.8029 0.6057 0.1028  6 Sn 3.50-3.57, 2 Na 3.83
Sr 0.8029 0.6057 0.3972  6 Sn 3.50-3.57, 2 Na 3.83
Sr 0.4714 0.9428 0.7500  7 Sn 3.46-3.58
Sr 0.5286 0.0572 0.2500  7 Sn 3.46-3.58
Sr 0.1971 0.3943 0.8972  6 Sn 3.50-3.57, 2 Na 3.83

***

What is the M_tot in the fifth record? 0.0 μB per formula unit

***

Among the records above, which one has the lowest calculated volume? LiTlN2